Sr6Ge2PN | PBE | relaxed

CIF file:
```
data_Sr6Ge2PN
_symmetry_space_group_name_H-M 'P 1 21/c 1'
_symmetry_Int_Tables_number 14
_cell_length_a 7.3664
_cell_length_b 7.9459
_cell_length_c 12.9200
_cell_angle_alpha 90.00
_cell_angle_beta 123.59
_cell_angle_gamma 90.00
loop_
_symmetry_equiv_pos_as_xyz
'x,y,z'
'-x,-y,-z'
'-x,y+1/2,-z+1/2'
'x,-y+1/2,z+1/2'
loop_
_atom_site_label
_atom_site_type_symbol
_atom_site_fract_x
_atom_site_fract_y
_atom_site_fract_z
Sr1 Sr 0.1328 0.0313 0.2342
Sr2 Sr 0.2218 0.7109 0.0498
Sr3 Sr 0.3442 0.1786 0.0506
Ge1 Ge 0.2811 0.0794 0.7509
P1 P 0.5000 0.0000 0.5000
N1 N 0.0000 0.0000 0.0000
```

Values from the calculation:
Uncorrected formation energy ... -0.588 eV per atom



In2Cu2AgAu5 | PBE | relaxed

CIF file:
```
data_In2Cu2AgAu5
_symmetry_space_group_name_H-M 'P 4/m b m'
_symmetry_Int_Tables_number 127
_symmetry_space_group_name_Hall '-P 4 2ab'
_cell_length_a 9.4076
_cell_length_b 9.4076
_cell_length_c 4.1523
_cell_angle_alpha 90.00
_cell_angle_beta 90.00
_cell_angle_gamma 90.00
loop_
_atom_site_label
_atom_site_type_symbol
_atom_site_fract_x
_atom_site_fract_y
_atom_site_fract_z
In1 In 0.1711 0.3289 0.0000
Cu1 Cu 0.1230 0.6230 0.0000
Ag1 Ag 0.0000 0.0000 0.0000
Au1 Au 0.0000 0.5000 0.5000
Au2 Au 0.0891 0.8048 0.5000
```

Values from the calculation:
Final energy ... -67.24 eV/cell



Er4Tm3Pb2 | PBE | relaxed

CIF file:
```
data_Er4Tm3Pb2
_symmetry_space_group_name_H-M 'C 1 2/m 1'
_symmetry_Int_Tables_number 12
_cell_length_a 12.7075
_cell_length_b 3.6595
_cell_length_c 12.0264
_cell_angle_alpha 90.00
_cell_angle_beta 108.03
_cell_angle_gamma 90.00
loop_
_symmetry_equiv_pos_as_xyz
'x,y,z'
'-x,-y,-z'
'-x,y,-z'
'x,-y,z'
'x+1/2,y+1/2,z'
'-x+1/2,-y+1/2,-z'
'-x+1/2,y+1/2,-z'
'x+1/2,-y+1/2,z'
loop_
_atom_site_label
_atom_site_type_symbol
_atom_site_fract_x
_atom_site_fract_y
_atom_site_fract_z
Er1 Er 0.0104 0.0000 0.3558
Er2 Er 0.1821 0.5000 0.8761
Tm1 Tm 0.0000 0.0000 0.0000
Tm2 Tm 0.1933 0.5000 0.5864
Pb1 Pb 0.1357 0.5000 0.2075
```

Values from the calculation:
Final energy ... -81.81 eV/cell



Y2Mg | PBE | relaxed

CIF file:
```
data_Y2Mg
_symmetry_space_group_name_H-M 'P a -3'
_symmetry_Int_Tables_number 205
_symmetry_space_group_name_Hall '-P 2ac 2ab 3'
_cell_length_a 7.3745
_cell_length_b 7.3745
_cell_length_c 7.3745
_cell_angle_alpha 90.00
_cell_angle_beta 90.00
_cell_angle_gamma 90.00
loop_
_atom_site_label
_atom_site_type_symbol
_atom_site_fract_x
_atom_site_fract_y
_atom_site_fract_z
Y1 Y 0.1480 0.1480 0.1480
Mg1 Mg 0.0000 0.0000 0.5000
```

Values from the calculation:
Final energy ... -52.74 eV/cell



TbCeTl4 | PBE | relaxed

CIF file:
```
data_TbCeTl4
_symmetry_space_group_name_H-M 'F -4 3 m'
_symmetry_Int_Tables_number 216
_symmetry_space_group_name_Hall 'F -4 2 3'
_cell_length_a 8.8279
_cell_length_b 8.8279
_cell_length_c 8.8279
_cell_angle_alpha 90.00
_cell_angle_beta 90.00
_cell_angle_gamma 90.00
loop_
_atom_site_label
_atom_site_type_symbol
_atom_site_fract_x
_atom_site_fract_y
_atom_site_fract_z
Tb1 Tb 0.0000 0.0000 0.0000
Ce1 Ce 0.2500 0.2500 0.7500
Tl1 Tl 0.1250 0.1250 0.3750
```

Values from the calculation:
Distance to the lowest polymorph of the same formula ... 0.067 eV per atom



Tm2Tl3HgTe6 | PBE | relaxed

CIF file:
```
data_Tm2Tl3HgTe6
_symmetry_space_group_name_H-M 'C 1 2/m 1'
_symmetry_Int_Tables_number 12
_cell_length_a 7.6895
_cell_length_b 13.3897
_cell_length_c 8.2675
_cell_angle_alpha 90.00
_cell_angle_beta 107.84
_cell_angle_gamma 90.00
loop_
_symmetry_equiv_pos_as_xyz
'x,y,z'
'-x,-y,-z'
'-x,y,-z'
'x,-y,z'
'x+1/2,y+1/2,z'
'-x+1/2,-y+1/2,-z'
'-x+1/2,y+1/2,-z'
'x+1/2,-y+1/2,z'
loop_
_atom_site_label
_atom_site_type_symbol
_atom_site_fract_x
_atom_site_fract_y
_atom_site_fract_z
Tm1 Tm 0.0000 0.1672 0.0000
Tl1 Tl 0.0000 0.0000 0.5000
Tl2 Tl 0.0000 0.3304 0.5000
Hg1 Hg 0.0000 0.5000 0.0000
Te1 Te 0.2348 0.0000 0.2157
Te2 Te 0.2416 0.3303 0.2172
```

Values from the calculation:
Uncorrected formation energy ... -0.677 eV per atom



Nd6Sm2Th3 | PBE | relaxed

CIF file:
```
data_Nd6Sm2Th3
_symmetry_space_group_name_H-M 'R -3 m'
_symmetry_Int_Tables_number 166
_symmetry_space_group_name_Hall '-R 3 2"'
_cell_length_a 3.6363
_cell_length_b 3.6363
_cell_length_c 98.1258
_cell_angle_alpha 90.00
_cell_angle_beta 90.00
_cell_angle_gamma 120.00
loop_
_atom_site_label
_atom_site_type_symbol
_atom_site_fract_x
_atom_site_fract_y
_atom_site_fract_z
Nd1 Nd 0.0000 0.0000 0.0895
Nd2 Nd 0.0000 0.0000 0.1822
Nd3 Nd 0.0000 0.0000 0.3633
Sm1 Sm 0.0000 0.0000 0.4543
Th1 Th 0.0000 0.0000 0.0000
Th2 Th 0.0000 0.0000 0.2732
```

Values from the calculation:
Final energy ... -179.72 eV/cell



PtRhAu2 | PBE | relaxed

CIF file:
```
data_PtRhAu2
_symmetry_space_group_name_H-M 'R -3 m'
_symmetry_Int_Tables_number 166
_symmetry_space_group_name_Hall '-R 3 2"'
_cell_length_a 2.8451
_cell_length_b 2.8451
_cell_length_c 28.1297
_cell_angle_alpha 90.00
_cell_angle_beta 90.00
_cell_angle_gamma 120.00
loop_
_atom_site_label
_atom_site_type_symbol
_atom_site_fract_x
_atom_site_fract_y
_atom_site_fract_z
Pt1 Pt 0.0000 0.0000 0.0000
Rh1 Rh 0.0000 0.0000 0.5000
Au1 Au 0.0000 0.0000 0.2489
```

Values from the calculation:
Distance to the lowest polymorph of the same formula ... 0.038 eV per atom



HoPu3 | PBE | relaxed

CIF file:
```
data_HoPu3
_symmetry_space_group_name_H-M 'I m m 2'
_symmetry_Int_Tables_number 44
_cell_length_a 3.6102
_cell_length_b 11.1025
_cell_length_c 5.5961
_cell_angle_alpha 90.00
_cell_angle_beta 90.00
_cell_angle_gamma 90.00
loop_
_symmetry_equiv_pos_as_xyz
'x,y,z'
'-x,-y,z'
'-x,y,z'
'x,-y,z'
'x+1/2,y+1/2,z+1/2'
'-x+1/2,-y+1/2,z+1/2'
'-x+1/2,y+1/2,z+1/2'
'x+1/2,-y+1/2,z+1/2'
loop_
_atom_site_label
_atom_site_type_symbol
_atom_site_fract_x
_atom_site_fract_y
_atom_site_fract_z
Ho1 Ho 0.0000 0.0000 0.0000
Pu1 Pu 0.0000 0.2347 0.5048
Pu2 Pu 0.0000 0.5000 0.9995
```

Values from the calculation:
Distance to the lowest polymorph of the same formula ... 0.022 eV per atom



Mg6ZrV | PBE | relaxed

CIF file:
```
data_Mg6ZrV
_symmetry_space_group_name_H-M 'A m m 2'
_symmetry_Int_Tables_number 38
_cell_length_a 4.9479
_cell_length_b 6.2449
_cell_length_c 11.1292
_cell_angle_alpha 90.00
_cell_angle_beta 90.00
_cell_angle_gamma 90.00
loop_
_symmetry_equiv_pos_as_xyz
'x,y,z'
'-x,-y,z'
'-x,y,z'
'x,-y,z'
'x,y+1/2,z+1/2'
'-x,-y+1/2,z+1/2'
'-x,y+1/2,z+1/2'
'x,-y+1/2,z+1/2'
loop_
_atom_site_label
_atom_site_type_symbol
_atom_site_fract_x
_atom_site_fract_y
_atom_site_fract_z
Mg1 Mg 0.0000 0.0000 0.0000
Mg2 Mg 0.0000 0.2421 0.2436
Mg3 Mg 0.5000 0.0000 0.8379
Mg4 Mg 0.5000 0.2444 0.5876
Zr1 Zr 0.0000 0.0000 0.4825
V1 V 0.5000 0.0000 0.3481
```

Values from the calculation:
Distance to the lowest polymorph of the same formula ... 0.000 eV per atom



DyInCu2 | PBE | relaxed

CIF file:
```
data_DyInCu2
_symmetry_space_group_name_H-M 'F m -3 m'
_symmetry_Int_Tables_number 225
_symmetry_space_group_name_Hall '-F 4 2 3'
_cell_length_a 6.6417
_cell_length_b 6.6417
_cell_length_c 6.6417
_cell_angle_alpha 90.00
_cell_angle_beta 90.00
_cell_angle_gamma 90.00
loop_
_atom_site_label
_atom_site_type_symbol
_atom_site_fract_x
_atom_site_fract_y
_atom_site_fract_z
Dy1 Dy 0.0000 0.0000 0.0000
In1 In 0.0000 0.0000 0.5000
Cu1 Cu 0.2500 0.2500 0.2500
```

Values from the calculation:
Final energy ... -67.41 eV/cell



RbAsCl3 | PBE | relaxed

CIF file:
```
data_RbAsCl3
_symmetry_space_group_name_H-M 'P m -3 m'
_symmetry_Int_Tables_number 221
_symmetry_space_group_name_Hall '-P 4 2 3'
_cell_length_a 5.2372
_cell_length_b 5.2372
_cell_length_c 5.2372
_cell_angle_alpha 90.00
_cell_angle_beta 90.00
_cell_angle_gamma 90.00
loop_
_atom_site_label
_atom_site_type_symbol
_atom_site_fract_x
_atom_site_fract_y
_atom_site_fract_z
Rb1 Rb 0.0000 0.0000 0.0000
As1 As 0.5000 0.5000 0.5000
Cl1 Cl 0.0000 0.5000 0.5000
```

Values from the calculation:
Distance to the lowest polymorph of the same formula ... 0.115 eV per atom
Uncorrected formation energy ... -0.996 eV per atom



CeDy12Tm2 | PBE | relaxed

CIF file:
```
data_CeDy12Tm2
_symmetry_space_group_name_H-M 'P 4/n b m'
_symmetry_Int_Tables_number 125
_cell_length_a 6.3654
_cell_length_b 6.3654
_cell_length_c 24.9488
_cell_angle_alpha 90.00
_cell_angle_beta 90.00
_cell_angle_gamma 90.00
loop_
_symmetry_equiv_pos_as_xyz
'x,y,z'
'-x,-y,-z'
'-y+1/2,x,z'
'y+1/2,-x,-z'
'-x+1/2,-y+1/2,z'
'x+1/2,y+1/2,-z'
'y,-x+1/2,z'
'-y,x+1/2,-z'
'x,-y+1/2,-z'
'-x,y+1/2,z'
'-y+1/2,-x+1/2,-z'
'y+1/2,x+1/2,z'
'-x+1/2,y,-z'
'x+1/2,-y,z'
'y,x,-z'
'-y,-x,z'
loop_
_atom_site_label
_atom_site_type_symbol
_atom_site_fract_x
_atom_site_fract_y
_atom_site_fract_z
Ce1 Ce 0.2500 0.7500 0.0000
Dy1 Dy 0.0666 0.5666 0.1162
Dy2 Dy 0.0814 0.5814 0.5610
Dy3 Dy 0.2500 0.2500 0.2160
Dy4 Dy 0.2500 0.2500 0.3392
Tm1 Tm 0.2500 0.7500 0.2750
```

Values from the calculation:
Final energy ... -129.60 eV/cell



FeAs2Cl | PBE | relaxed

CIF file:
```
data_FeAs2Cl
_symmetry_space_group_name_H-M 'I m m 2'
_symmetry_Int_Tables_number 44
_cell_length_a 3.0053
_cell_length_b 4.3768
_cell_length_c 13.7546
_cell_angle_alpha 90.00
_cell_angle_beta 90.00
_cell_angle_gamma 90.00
loop_
_symmetry_equiv_pos_as_xyz
'x,y,z'
'-x,-y,z'
'-x,y,z'
'x,-y,z'
'x+1/2,y+1/2,z+1/2'
'-x+1/2,-y+1/2,z+1/2'
'-x+1/2,y+1/2,z+1/2'
'x+1/2,-y+1/2,z+1/2'
loop_
_atom_site_label
_atom_site_type_symbol
_atom_site_fract_x
_atom_site_fract_y
_atom_site_fract_z
Fe1 Fe 0.0000 0.0000 0.0000
As1 As 0.0000 0.0000 0.5517
As2 As 0.0000 0.5000 0.6539
Cl1 Cl 0.0000 0.5000 0.3705
```

Values from the calculation:
Distance to the lowest polymorph of the same formula ... 0.132 eV per atom
Uncorrected formation energy ... -0.001 eV per atom



Cs2TlCd | PBE | relaxed

CIF file:
```
data_Cs2TlCd
_symmetry_space_group_name_H-M 'F m -3 m'
_symmetry_Int_Tables_number 225
_symmetry_space_group_name_Hall '-F 4 2 3'
_cell_length_a 9.3063
_cell_length_b 9.3063
_cell_length_c 9.3063
_cell_angle_alpha 90.00
_cell_angle_beta 90.00
_cell_angle_gamma 90.00
loop_
_atom_site_label
_atom_site_type_symbol
_atom_site_fract_x
_atom_site_fract_y
_atom_site_fract_z
Cs1 Cs 0.2500 0.2500 0.2500
Tl1 Tl 0.0000 0.0000 0.0000
Cd1 Cd 0.0000 0.0000 0.5000
```

Values from the calculation:
Distance to the lowest polymorph of the same formula ... 0.106 eV per atom



Ac3LuH | PBE | relaxed

CIF file:
```
data_Ac3LuH
_symmetry_space_group_name_H-M 'P m -3 m'
_symmetry_Int_Tables_number 221
_symmetry_space_group_name_Hall '-P 4 2 3'
_cell_length_a 5.4675
_cell_length_b 5.4675
_cell_length_c 5.4675
_cell_angle_alpha 90.00
_cell_angle_beta 90.00
_cell_angle_gamma 90.00
loop_
_atom_site_label
_atom_site_type_symbol
_atom_site_fract_x
_atom_site_fract_y
_atom_site_fract_z
Ac1 Ac 0.0000 0.0000 0.5000
Lu1 Lu 0.5000 0.5000 0.5000
H1 H 0.0000 0.0000 0.0000
```

Values from the calculation:
Final energy ... -20.65 eV/cell



La8Co3Os | PBE | relaxed

CIF file:
```
data_La8Co3Os
_symmetry_space_group_name_H-M 'C 1 m 1'
_symmetry_Int_Tables_number 8
_cell_length_a 16.9236
_cell_length_b 5.6200
_cell_length_c 8.9955
_cell_angle_alpha 90.00
_cell_angle_beta 108.23
_cell_angle_gamma 90.00
loop_
_symmetry_equiv_pos_as_xyz
'x,y,z'
'x,-y,z'
'x+1/2,y+1/2,z'
'x+1/2,-y+1/2,z'
loop_
_atom_site_label
_atom_site_type_symbol
_atom_site_fract_x
_atom_site_fract_y
_atom_site_fract_z
La1 La 0.0000 0.0000 0.0000
La2 La 0.0320 0.5000 0.3141
La3 La 0.0984 0.0000 0.6538
La4 La 0.2090 0.0000 0.3495
La5 La 0.2706 0.5000 0.6933
La6 La 0.3103 0.0000 0.0078
La7 La 0.3794 0.5000 0.3304
La8 La 0.4246 0.0000 0.6661
Co1 Co 0.0492 0.0000 0.3071
Co2 Co 0.2567 0.0000 0.7002
Co3 Co 0.3594 0.0000 0.2998
Os1 Os 0.4430 0.5000 0.6911
```

Values from the calculation:
Final energy ... -144.89 eV/cell